First-principles (PBE-GGA) data for a relaxed YHo14Th crystal, as listed in the Alexandria database.

Cell: 6.8986 6.8986 11.0464 Å, 90.00 90.00 107.71°
Last column: nearest neighbours and their distance in Å.
Positions (direct):
Y (0.6969, 0.3031, 0.5000)  10 Ho 3.35-3.52
Ho (0.1099, 0.8901, 0.0000)  12 Ho 3.48-3.73
Ho (0.5569, 0.4431, 0.0000)  10 Ho 3.34-3.52
Ho (0.2132, 0.3760, 0.5000)  7 Ho 3.34-3.58, 2 Th 3.39-3.59, 2 Y 3.44-3.52
Ho (0.0397, 0.3690, 0.0000)  11 Ho 3.33-3.63
Ho (0.6240, 0.7868, 0.5000)  7 Ho 3.34-3.58, 2 Th 3.39-3.59, 2 Y 3.44-3.52
Ho (0.6310, 0.9603, 0.0000)  11 Ho 3.33-3.63
Ho (0.4128, 0.1653, 0.7497)  9 Ho 3.34-3.63, 1 Y 3.35, 1 Th 3.63
Ho (0.4128, 0.1653, 0.2503)  9 Ho 3.34-3.63, 1 Y 3.35, 1 Th 3.63
Ho (0.8347, 0.5872, 0.7497)  9 Ho 3.34-3.63, 1 Y 3.35, 1 Th 3.63
Ho (0.8347, 0.5872, 0.2503)  9 Ho 3.34-3.63, 1 Y 3.35, 1 Th 3.63
Ho (0.3450, 0.6550, 0.7673)  10 Ho 3.41-3.67, 1 Th 3.78
Ho (0.3450, 0.6550, 0.2327)  10 Ho 3.41-3.67, 1 Th 3.78
Ho (0.9049, 0.0951, 0.7330)  9 Ho 3.39-3.73, 1 Y 3.46, 1 Th 3.62
Ho (0.9049, 0.0951, 0.2670)  9 Ho 3.39-3.73, 1 Y 3.46, 1 Th 3.62
Th (0.1334, 0.8666, 0.5000)  12 Ho 3.39-3.78

* space group: Amm2 (38)
* ΔE_f: 0.059 eV/atom

=====

First-principles (PBE-GGA) data for a relaxed MnGe2Au2 crystal, as listed in the Alexandria database.

Cell: 6.6800 6.6800 4.0538 Å, 90.00 90.00 90.00°
Last column: nearest neighbours and their distance in Å.
Positions (direct):
Ge (0.3569, 0.8569, 0.0000)  2 Mn 2.57, 2 Au 2.70, 1 Ge 2.70
Ge (0.8569, 0.6431, 0.0000)  2 Mn 2.57, 2 Au 2.70, 1 Ge 2.70
Ge (0.6431, 0.1431, 0.0000)  2 Mn 2.57, 2 Au 2.70, 1 Ge 2.70
Ge (0.1431, 0.3569, 0.0000)  2 Mn 2.57, 2 Au 2.70, 1 Ge 2.70
Mn (0.0000, 0.0000, 0.0000)  4 Ge 2.57
Mn (0.5000, 0.5000, 0.0000)  4 Ge 2.57
Au (0.1684, 0.6684, 0.5000)  6 Ge 2.70-2.91
Au (0.6684, 0.8316, 0.5000)  6 Ge 2.70-2.91
Au (0.8316, 0.3316, 0.5000)  6 Ge 2.70-2.91
Au (0.3316, 0.1684, 0.5000)  6 Ge 2.70-2.91

* space group: P4/mbm (127)
* ΔE_f: 0.187 eV/atom

=====

First-principles (PBE-GGA) data for a relaxed NaTi4In5 crystal, as listed in the Alexandria database.

Cell: 3.0418 3.0418 21.9543 Å, 90.00 90.00 90.00°
Last column: nearest neighbours and their distance in Å.
Positions (direct):
Na (0.0000, 0.0000, 0.0000)  4 Na 3.04, 8 In 3.37
Ti (0.0000, 0.0000, 0.2146)  8 In 3.00-3.01, 4 Ti 3.04
Ti (0.0000, 0.0000, 0.4044)  8 In 2.99-3.00, 4 Ti 3.04
Ti (0.0000, 0.0000, 0.5956)  8 In 2.99-3.00, 4 Ti 3.04
Ti (0.0000, 0.0000, 0.7854)  8 In 3.00-3.01, 4 Ti 3.04
In (0.5000, 0.5000, 0.1184)  4 Ti 3.01, 4 In 3.04, 4 Na 3.37
In (0.5000, 0.5000, 0.3096)  8 Ti 2.99-3.00, 4 In 3.04
In (0.5000, 0.5000, 0.5000)  8 Ti 3.00, 4 In 3.04
In (0.5000, 0.5000, 0.6904)  8 Ti 2.99-3.00, 4 In 3.04
In (0.5000, 0.5000, 0.8816)  4 Ti 3.01, 4 In 3.04, 4 Na 3.37

* space group: P4/mmm (123)
* ΔE_f: -0.113 eV/atom

=====

First-principles (PBE-GGA) data for a relaxed KW crystal, as listed in the Alexandria database.

Cell: 10.0641 10.0641 10.0641 Å, 90.00 90.00 90.00°
Last column: nearest neighbours and their distance in Å.
Positions (direct):
K (0.2500, 0.0000, 0.5000)  4 W 3.56
K (0.7500, 0.0000, 0.5000)  4 W 3.56
K (0.0000, 0.5000, 0.2500)  4 W 3.56
K (0.0000, 0.5000, 0.7500)  4 W 3.56
K (0.5000, 0.2500, 0.0000)  4 W 3.56
K (0.5000, 0.7500, 0.0000)  4 W 3.56
W (0.2500, 0.5000, 0.0000)  4 K 3.56
W (0.7500, 0.5000, 0.0000)  4 K 3.56
W (0.5000, 0.0000, 0.2500)  4 K 3.56
W (0.5000, 0.0000, 0.7500)  4 K 3.56
W (0.0000, 0.2500, 0.5000)  4 K 3.56
W (0.0000, 0.7500, 0.5000)  4 K 3.56

* relative energy among the computed polymorphs: 2493 meV per atom
* space group: Pm-3n (223)
* ΔE_f: 3.416 eV/atom

=====

First-principles (PBE-GGA) data for a relaxed Nd6Mg3Ag crystal, as listed in the Alexandria database.

Cell: 9.5776 6.5915 9.6263 Å, 90.00 88.79 90.00°
Last column: nearest neighbours and their distance in Å.
Positions (direct):
Nd (0.6796, 0.0865, 0.9374)  1 Ag 3.19, 3 Mg 3.27-3.56, 1 Nd 3.50
Nd (0.6714, 0.1021, 0.5617)  1 Ag 3.16, 2 Mg 3.26-3.35, 1 Nd 3.50
Nd (0.8520, 0.2680, 0.2441)  1 Ag 3.24, 3 Mg 3.37-3.60, 2 Nd 3.60-3.62
Nd (0.1480, 0.7320, 0.7559)  1 Ag 3.24, 3 Mg 3.37-3.60, 2 Nd 3.60-3.62
Nd (0.3286, 0.8979, 0.4383)  1 Ag 3.16, 2 Mg 3.26-3.35, 1 Nd 3.50
Nd (0.3204, 0.9135, 0.0626)  1 Ag 3.19, 3 Mg 3.27-3.56, 1 Nd 3.50
Nd (0.1796, 0.4135, 0.4374)  1 Ag 3.19, 3 Mg 3.27-3.56, 1 Nd 3.50
Nd (0.1714, 0.3979, 0.0617)  1 Ag 3.16, 2 Mg 3.26-3.35, 1 Nd 3.50
Nd (0.3520, 0.2320, 0.7441)  1 Ag 3.24, 3 Mg 3.37-3.60, 2 Nd 3.60-3.62
Nd (0.6480, 0.7680, 0.2559)  1 Ag 3.24, 3 Mg 3.37-3.60, 2 Nd 3.60-3.62
Nd (0.8286, 0.6021, 0.9383)  1 Ag 3.16, 2 Mg 3.26-3.35, 1 Nd 3.50
Nd (0.8204, 0.5865, 0.5626)  1 Ag 3.19, 3 Mg 3.27-3.56, 1 Nd 3.50
Mg (0.5074, 0.7349, 0.7415)  1 Ag 2.80, 1 Mg 2.93
Mg (0.5000, 0.5000, 0.0000)  2 Mg 2.93, 4 Nd 3.26-3.27
Mg (0.4926, 0.2651, 0.2585)  1 Ag 2.80, 1 Mg 2.93
Mg (0.0074, 0.7651, 0.2415)  1 Ag 2.80, 1 Mg 2.93
Mg (0.0000, 0.0000, 0.5000)  2 Mg 2.93, 4 Nd 3.26-3.27
Mg (0.9926, 0.2349, 0.7585)  1 Ag 2.80, 1 Mg 2.93
Ag (0.5000, 0.5000, 0.5000)  2 Mg 2.80
Ag (0.0000, 0.0000, 0.0000)  2 Mg 2.80

* space group: P2_1/c (14)
* ΔE_f: -0.019 eV/atom

=====

First-principles (PBE-GGA) data for a relaxed Tm2TiCu crystal, as listed in the Alexandria database.

Cell: 3.2275 3.2275 10.4358 Å, 81.10 81.10 60.00°
Last column: nearest neighbours and their distance in Å.
Positions (direct):
Tm (0.0950, 0.0950, 0.7151)  3 Cu 2.89, 1 Ti 2.92, 6 Tm 3.23
Tm (0.9050, 0.9050, 0.2849)  3 Cu 2.89, 1 Ti 2.92, 6 Tm 3.23
Cu (0.5000, 0.5000, 0.5000)  6 Tm 2.89, 6 Cu 3.23
Ti (0.0000, 0.0000, 0.0000)  2 Tm 2.92, 6 Ti 3.23

* relative energy among the computed polymorphs: 461 meV per atom
* space group: R-3m (166)
* ΔE_f: 0.435 eV/atom